Co2NiSe after structural relaxation, computed with PBE.

It has space group R3m (No. 160, hexagonal axes), with a = 2.7800 Å, b = 2.7800 Å, c = 22.9579 Å, α = 90.00°, β = 90.00° and γ = 120.00°. Symmetry generates all atoms from Co at (0.0000, 0.0000, 0.0000), Co at (0.0000, 0.0000, 0.2526), Ni at (0.0000, 0.0000, 0.7509) and Se at (0.0000, 0.0000, 0.5021).

The calculation puts the formation energy from raw total energies at 0.32 eV per atom. The value obtained for the magnetization is 3.5 μB per formula unit. For the density, the calculation gives 8.28 Mg/m³.

SrCa3In after structural relaxation, computed with PBE.

It has space group Pm-3m (No. 221), with a = 6.105 Å, b = 6.105 Å, c = 6.105 Å, α = 90.00°, β = 90.00° and γ = 90.00°. Symmetry generates all atoms from Sr at (0.000, 0.000, 0.000), Ca at (0.000, 0.500, 0.500) and In at (0.500, 0.500, 0.500).

The energy above the most stable polymorph in this dataset comes out at 0.0 meV/atom. The value obtained for the magnetization is 1.0 μB per formula unit. For the density, the calculation gives 2.35 Mg/m³. As for the formation energy: -0.043 eV per atom.

OsCl2F8 after structural relaxation, computed with PBE.

It has space group C2/m (No. 12), with a = 12.438 Å, b = 6.274 Å, c = 5.472 Å, α = 90.00°, β = 99.95° and γ = 90.00°. Symmetry generates all atoms from Os at (0.000, 0.000, 0.000), Cl at (0.233, 0.500, 0.520), F at (0.080, 0.000, 0.333), F at (0.094, 0.211, 0.914) and F at (0.101, 0.500, 0.407).

The calculation puts the formation energy from raw total energies at -1.20 eV per atom. The value obtained for the magnetization is 2.0 μB per formula unit. For the density, the calculation gives 3.26 Mg/m³.

HoErBePt after structural relaxation, computed with PBE.

It has space group F-43m (No. 216), with a = 6.886 Å, b = 6.886 Å, c = 6.886 Å, α = 90.00°, β = 90.00° and γ = 90.00°. Symmetry generates all atoms from Ho at (0.000, 0.000, 0.000), Er at (0.000, 0.000, 0.500), Be at (0.250, 0.250, 0.250) and Pt at (0.250, 0.250, 0.750).

The value obtained for the magnetization is 0.0 μB per formula unit. For the density, the calculation gives 10.91 Mg/m³. As for the formation energy: -0.575 eV per atom.

RuRhBr after structural relaxation, computed with PBE.

It has space group P3m1 (No. 156), with a = 3.6175 Å, b = 3.6175 Å, c = 5.3479 Å, α = 90.00°, β = 90.00° and γ = 120.00°. Symmetry generates all atoms from Ru at (0.0000, 0.0000, 0.0000), Rh at (0.3333, 0.6667, 0.7667) and Br at (0.6667, 0.3333, 0.3214).

The energy above the most stable polymorph in this dataset comes out at 54.2 meV/atom. The calculation puts the formation energy from raw total energies at 0.66 eV per atom. The value obtained for the magnetization is 2.0 μB per formula unit. For the density, the calculation gives 7.78 Mg/m³.

La3Ru after structural relaxation, computed with PBE.

It has space group Fm-3m (No. 225), with a = 7.495 Å, b = 7.495 Å, c = 7.495 Å, α = 90.00°, β = 90.00° and γ = 90.00°. Symmetry generates all atoms from La at (0.000, 0.000, 0.000), La at (0.250, 0.250, 0.250) and Ru at (0.000, 0.000, 0.500).

The value obtained for the magnetization is 0.0 μB per formula unit. For the density, the calculation gives 8.17 Mg/m³. As for the formation energy: 0.156 eV per atom.

Look up the magnetization of the fourth one. 0.0 μB per formula unit

What is the formula in the third record? OsCl2F8

Which formula does entry 1 have? Co2NiSe

Which of these has the lowest density? SrCa3In